A geometry-optimized In2SbRhI structure. Source: the Alexandria database, functional GGA-PBE.

Structure (extended XYZ):
```
5
Lattice="5.316 0.000 0.000 0.000 5.316 0.000 0.000 0.000 5.086" Properties=species:S:1:pos:R:3 pbc="T T T"
In 0.000 2.658 0.000
In 2.658 0.000 0.000
Sb 0.000 0.000 2.543
Rh 0.000 0.000 0.000
I 2.658 2.658 2.543
```

## Properties
E in eV/atom: -3.92
Space-group type: No. 123
V in Å³ per atom: 28.7
Formation energy without anion corrections in eV per atom: -0.218

---

A geometry-optimized InSn2RhI structure. Source: the Alexandria database, functional GGA-PBE.

Structure (extended XYZ):
```
5
Lattice="5.189 0.000 0.000 0.000 5.189 0.000 0.000 0.000 5.322" Properties=species:S:1:pos:R:3 pbc="T T T"
In 0.000 0.000 0.000
Sn 0.000 2.594 2.661
Sn 2.594 0.000 2.661
Rh 0.000 0.000 2.661
I 2.594 2.594 0.000
```

## Properties
E in eV/atom: -4.18
Space-group type: No. 123
V in Å³ per atom: 28.7
Formation energy without anion corrections in eV per atom: -0.252

---

A geometry-optimized Sr2InRhI structure. Source: the Alexandria database, functional GGA-PBE.

Structure (extended XYZ):
```
5
Lattice="5.887 0.000 0.000 0.000 5.887 0.000 0.000 0.000 5.132" Properties=species:S:1:pos:R:3 pbc="T T T"
Sr 0.000 2.944 0.000
Sr 2.944 0.000 0.000
In 0.000 0.000 2.566
Rh 0.000 0.000 0.000
I 2.944 2.944 2.566
```

## Properties
E in eV/atom: -3.64
Space-group type: No. 123
V in Å³ per atom: 35.6
Formation energy without anion corrections in eV per atom: -0.635

---

A geometry-optimized InTc2RhI structure. Source: the Alexandria database, functional GGA-PBE.

Structure (extended XYZ):
```
5
Lattice="5.160 0.000 0.000 0.000 5.160 0.000 0.000 0.000 4.952" Properties=species:S:1:pos:R:3 pbc="T T T"
In 0.000 0.000 0.000
Tc 0.000 2.580 0.000
Tc 2.580 0.000 0.000
Rh 0.000 0.000 2.476
I 2.580 2.580 2.476
```

## Properties
E in eV/atom: -4.64
Space-group type: No. 123
V in Å³ per atom: 26.4
Formation energy without anion corrections in eV per atom: 1.836